# 1
Nd2Co2Hg | PBE-GGA | relaxed

The structure belongs to space group Cmmm (No. 65); the cell edges are 3.923, 13.934 and 4.067 Å and the angles 90.00°, 90.00° and 90.00°. Symmetry generates all atoms from Nd at (0.000, 0.134, 0.000), Co at (0.000, 0.290, 0.500) and Hg at (0.000, 0.500, 0.500).

Its density of states at the Fermi level is 4.04 states/eV/f.u. Its spin magnetization is 1.7 μB/f.u. The value obtained for the total energy is -5.06 eV per atom.


# 2
CoTePb2 | PBE-GGA | relaxed

The structure belongs to space group Pm (No. 6); the cell edges are 4.095, 3.397 and 7.722 Å and the angles 90.00°, 105.14° and 90.00°. Symmetry generates all atoms from Co at (0.000, 0.000, 0.000), Te at (0.124, 0.500, 0.243), Pb at (0.439, 0.500, 0.878) and Pb at (0.788, 0.000, 0.576).

Its density of states at the Fermi level is 4.07 states/eV/f.u. Its spin magnetization is 0.4 μB/f.u. The formation energy without anion corrections is 0.18 eV per atom. The energy above the lowest structure with this stoichiometry comes out at 96 meV per atom.


# 3
Ta2TlGe | PBE-GGA | relaxed

The structure belongs to space group I-42d (No. 122); the cell edges are 4.037, 4.037 and 20.223 Å and the angles 90.00°, 90.00° and 90.00°. Symmetry generates all atoms from Ta at (0.242, 0.250, 0.125), Tl at (0.000, 0.000, 0.500) and Ge at (0.000, 0.000, 0.000).

Its density of states at the Fermi level is 3.62 states/eV/f.u. Its spin magnetization is 0.0 μB/f.u. The value obtained for the total energy is -7.02 eV per atom.


# 4
CaY7Er2 | PBE-GGA | relaxed

The structure belongs to space group P-1 (No. 2); the cell edges are 6.201, 6.205 and 9.496 Å and the angles 71.02°, 71.14° and 80.32°. Symmetry generates all atoms from Ca at (0.000, 0.000, 0.000), Y at (0.203, 0.001, 0.595), Y at (0.311, 0.499, 0.897), Y at (0.394, 0.000, 0.206), Y at (0.500, 0.500, 0.500) and Er at (0.099, 0.492, 0.304).

Its density of states at the Fermi level is 16.26 states/eV/f.u. Its spin magnetization is 0.0 μB/f.u. The value obtained for the total energy is -5.58 eV per atom.


# 5
Na3VAg | PBE-GGA | relaxed

The structure belongs to space group Pm-3m (No. 221); the cell edges are 5.509, 5.509 and 5.509 Å and the angles 90.00°, 90.00° and 90.00°. Symmetry generates all atoms from Na at (0.000, 0.000, 0.500), V at (0.500, 0.500, 0.500) and Ag at (0.000, 0.000, 0.000).

Its density of states at the Fermi level is 8.62 states/eV/f.u. Its spin magnetization is 4.3 μB/f.u. The energy above the lowest structure with this stoichiometry comes out at 0 meV per atom.


# 6
Cs2NaI2Br6 | PBE-GGA | relaxed

The structure belongs to space group C2/m (No. 12); the cell edges are 16.368, 7.719 and 8.807 Å and the angles 90.00°, 119.64° and 90.00°. Symmetry generates all atoms from Cs at (0.218, 0.000, 0.184), Na at (0.000, 0.000, 0.500), I at (0.080, 0.500, 0.284), Br at (0.082, 0.255, 0.780) and Br at (0.244, 0.000, 0.659).

Its density of states at the Fermi level is 8.12 states/eV/f.u. Its spin magnetization is 0.9 μB/f.u. The formation energy without anion corrections is -0.84 eV per atom.


# 7
YMnSb3 | PBE-GGA | relaxed

The structure belongs to space group Pbcm (No. 57); the cell edges are 12.735, 6.233 and 6.025 Å and the angles 90.00°, 90.00° and 90.00°. Symmetry generates all atoms from Y at (0.189, 0.004, 0.250), Mn at (0.404, 0.750, 0.000), Sb at (0.002, 0.750, 0.000), Sb at (0.272, 0.000, 0.750) and Sb at (0.435, 0.104, 0.250).

Its density of states at the Fermi level is 2.37 states/eV/f.u. Its spin magnetization is 2.7 μB/f.u. The formation energy without anion corrections is -0.48 eV per atom. The energy above the lowest structure with this stoichiometry comes out at 0 meV per atom.


# 8
Tm6AlCd3 | PBE-GGA | relaxed

The structure belongs to space group P2_1/m (No. 11); the cell edges are 9.184, 5.156 and 11.346 Å and the angles 90.00°, 106.50° and 90.00°. Symmetry generates all atoms from Tm at (0.036, 0.250, 0.408), Tm at (0.160, 0.750, 0.178), Tm at (0.268, 0.250, 0.006), Tm at (0.345, 0.750, 0.821), Tm at (0.371, 0.250, 0.329), Tm at (0.391, 0.250, 0.620), Al at (0.455, 0.750, 0.110), Cd at (0.029, 0.750, 0.882), Cd at (0.120, 0.250, 0.722) and Cd at (0.274, 0.750, 0.472).

Its density of states at the Fermi level is 7.90 states/eV/f.u. Its spin magnetization is 0.0 μB/f.u. The value obtained for the total energy is -3.56 eV per atom.


# 9
Mg2TlReF | PBE-GGA | relaxed

The structure belongs to space group P4/mmm (No. 123); the cell edges are 4.083, 4.083 and 5.100 Å and the angles 90.00°, 90.00° and 90.00°. Symmetry generates all atoms from Mg at (0.000, 0.500, 0.000), Tl at (0.000, 0.000, 0.500), Re at (0.500, 0.500, 0.500) and F at (0.000, 0.000, 0.000).

Its density of states at the Fermi level is 2.29 states/eV/f.u. Its spin magnetization is 0.3 μB/f.u. The formation energy without anion corrections is -0.25 eV per atom.


# 10
SrZrMn | PBE-GGA | relaxed

The structure belongs to space group F-43m (No. 216); the cell edges are 6.948, 6.948 and 6.948 Å and the angles 90.00°, 90.00° and 90.00°. Symmetry generates all atoms from Sr at (0.000, 0.000, 0.000), Zr at (0.000, 0.000, 0.500) and Mn at (0.250, 0.250, 0.750).

Its density of states at the Fermi level is 5.07 states/eV/f.u. Its spin magnetization is 1.2 μB/f.u. The energy above the lowest structure with this stoichiometry comes out at 488 meV per atom.


# 11
Ta2CoMoH | PBE-GGA | relaxed

The structure belongs to space group P4/mmm (No. 123); the cell edges are 4.311, 4.311 and 3.550 Å and the angles 90.00°, 90.00° and 90.00°. Symmetry generates all atoms from Ta at (0.000, 0.500, 0.000), Co at (0.000, 0.000, 0.500), Mo at (0.500, 0.500, 0.500) and H at (0.500, 0.500, 0.000).

Its density of states at the Fermi level is 3.80 states/eV/f.u. Its spin magnetization is 0.8 μB/f.u. The energy above the lowest structure with this stoichiometry comes out at 185 meV per atom.


# 12
Ho3BSb | PBE-GGA | relaxed

The structure belongs to space group Pm-3m (No. 221); the cell edges are 4.966, 4.966 and 4.966 Å and the angles 90.00°, 90.00° and 90.00°. Symmetry generates all atoms from Ho at (0.000, 0.000, 0.500), B at (0.000, 0.000, 0.000) and Sb at (0.500, 0.500, 0.500).

Its density of states at the Fermi level is 2.29 states/eV/f.u. Its spin magnetization is 0.0 μB/f.u. The formation energy without anion corrections is -0.53 eV per atom.


# 13
BeTc2 | PBE-GGA | relaxed

The structure belongs to space group Pa-3 (No. 205); the cell edges are 5.368, 5.368 and 5.368 Å and the angles 90.00°, 90.00° and 90.00°. Symmetry generates all atoms from Be at (0.000, 0.000, 0.000) and Tc at (0.135, 0.635, 0.865).

Its density of states at the Fermi level is 2.91 states/eV/f.u. Its spin magnetization is 0.0 μB/f.u. The energy above the lowest structure with this stoichiometry comes out at 697 meV per atom.


# 14
InAg2HgSe4 | PBE-GGA | relaxed

The structure belongs to space group Fmm2 (No. 42); the cell edges are 8.564, 8.568 and 12.514 Å and the angles 90.00°, 90.00° and 90.00°. Symmetry generates all atoms from In at (0.000, 0.000, 0.000), Ag at (0.250, 0.250, 0.250), Hg at (0.000, 0.000, 0.501), Se at (0.000, 0.245, 0.128) and Se at (0.246, 0.000, 0.873).

Its density of states at the Fermi level is 5.36 states/eV/f.u. Its spin magnetization is 0.0 μB/f.u. The formation energy without anion corrections is -0.24 eV per atom.


# 15
Sr5Re2O12 | PBE-GGA | relaxed

The structure belongs to space group P-1 (No. 2); the cell edges are 6.071, 7.419 and 7.764 Å and the angles 101.36°, 97.79° and 94.23°. Symmetry generates all atoms from Sr at (0.000, 0.000, 0.000), Sr at (0.027, 0.720, 0.419), Sr at (0.457, 0.388, 0.270), Re at (0.478, 0.100, 0.822), O at (0.239, 0.484, 0.503), O at (0.262, 0.001, 0.635), O at (0.269, 0.242, 0.931), O at (0.309, 0.055, 0.252), O at (0.353, 0.872, 0.930) and O at (0.367, 0.704, 0.226).

Its spin magnetization is 0.0 μB/f.u. The formation energy without anion corrections is -2.33 eV per atom. The energy above the lowest structure with this stoichiometry comes out at 111 meV per atom.


# 16
P2AuBrO | PBE-GGA | relaxed

The structure belongs to space group P4/mmm (No. 123); the cell edges are 4.945, 4.945 and 4.037 Å and the angles 90.00°, 90.00° and 90.00°. Symmetry generates all atoms from P at (0.000, 0.500, 0.000), Au at (0.000, 0.000, 0.000), Br at (0.500, 0.500, 0.500) and O at (0.000, 0.000, 0.500).

Its density of states at the Fermi level is 5.95 states/eV/f.u. Its spin magnetization is 0.3 μB/f.u. The formation energy without anion corrections is 0.92 eV per atom. The energy above the lowest structure with this stoichiometry comes out at 0 meV per atom.


# 17
Na2Mg2Ga | PBE-GGA | relaxed

The structure belongs to space group P4/mbm (No. 127); the cell edges are 7.116, 7.116 and 5.435 Å and the angles 90.00°, 90.00° and 90.00°. Symmetry generates all atoms from Na at (0.174, 0.326, 0.000), Mg at (0.152, 0.652, 0.500) and Ga at (0.000, 0.000, 0.500).

Its density of states at the Fermi level is 1.85 states/eV/f.u. Its spin magnetization is 0.0 μB/f.u. The energy above the lowest structure with this stoichiometry comes out at 0 meV per atom.


# 18
La3SmY6Th2 | PBE-GGA | relaxed

The structure belongs to space group C2/m (No. 12); the cell edges are 6.284, 10.882 and 11.888 Å and the angles 90.00°, 100.18° and 90.00°. Symmetry generates all atoms from La at (0.000, 0.000, 0.000), La at (0.000, 0.334, 0.000), Sm at (0.000, 0.500, 0.500), Y at (0.243, 0.000, 0.744), Y at (0.250, 0.169, 0.257) and Th at (0.000, 0.167, 0.500).

Its density of states at the Fermi level is 16.26 states/eV/f.u. Its spin magnetization is 0.0 μB/f.u. The value obtained for the total energy is -6.07 eV per atom.


# 19
Tb2PrNd5Sm | PBE-GGA | relaxed

The structure belongs to space group Cmc2_1 (No. 36); the cell edges are 5.755, 20.563 and 10.688 Å and the angles 90.00°, 90.00° and 90.00°. Symmetry generates all atoms from Tb at (0.000, 0.114, 0.000), Tb at (0.000, 0.117, 0.590), Pr at (0.000, 0.413, 0.718), Nd at (0.000, 0.016, 0.291), Nd at (0.000, 0.280, 0.580), Nd at (0.000, 0.297, 0.974), Nd at (0.000, 0.390, 0.293), Nd at (0.000, 0.478, 0.008) and Sm at (0.000, 0.200, 0.279).

Its density of states at the Fermi level is 13.87 states/eV/f.u. Its spin magnetization is 0.0 μB/f.u. The value obtained for the total energy is -4.59 eV per atom.


# 20
Y2SiCl | PBE-GGA | relaxed

The structure belongs to space group Cmmm (No. 65); the cell edges are 4.451, 5.257 and 7.797 Å and the angles 90.00°, 90.00° and 90.00°. Symmetry generates all atoms from Y at (0.000, 0.000, 0.226), Si at (0.000, 0.500, 0.000) and Cl at (0.000, 0.500, 0.500).

Its density of states at the Fermi level is 2.95 states/eV/f.u. Its spin magnetization is 0.0 μB/f.u. The formation energy without anion corrections is -0.86 eV per atom. The energy above the lowest structure with this stoichiometry comes out at 279 meV per atom.


# 21
Sc5Mo2 | PBE-GGA | relaxed

The structure belongs to space group I4/mmm (No. 139); the cell edges are 3.230, 3.230 and 28.992 Å and the angles 90.00°, 90.00° and 90.00°. Symmetry generates all atoms from Sc at (0.000, 0.000, 0.000), Sc at (0.000, 0.000, 0.164), Sc at (0.000, 0.000, 0.421) and Mo at (0.000, 0.000, 0.274).

Its density of states at the Fermi level is 10.14 states/eV/f.u. Its spin magnetization is 0.0 μB/f.u. The value obtained for the total energy is -7.60 eV per atom.


# 22
PmZn2Ir4 | PBE-GGA | relaxed

The structure belongs to space group Immm (No. 71); the cell edges are 5.082, 6.763 and 6.800 Å and the angles 90.00°, 90.00° and 90.00°. Symmetry generates all atoms from Pm at (0.000, 0.000, 0.000), Zn at (0.249, 0.500, 0.000) and Ir at (0.000, 0.306, 0.307).

Its density of states at the Fermi level is 6.83 states/eV/f.u. Its spin magnetization is 0.0 μB/f.u. The value obtained for the total energy is -6.29 eV per atom.


# 23
Sr3Zn8Pt | PBE-GGA | relaxed

The structure belongs to space group R3m (No. 160, hexagonal axes); the cell edges are 5.3345, 5.3345 and 31.2107 Å and the angles 90.00°, 90.00° and 120.00°. Symmetry generates all atoms from Sr at (0.0000, 0.0000, 0.0000), Sr at (0.0000, 0.0000, 0.1259), Sr at (0.0000, 0.0000, 0.6079), Zn at (0.0000, 0.0000, 0.2869), Zn at (0.0000, 0.0000, 0.8101), Zn at (0.0042, 0.5021, 0.5482), Zn at (0.1672, 0.3345, 0.3960) and Pt at (0.0000, 0.0000, 0.5138).

Its density of states at the Fermi level is 4.29 states/eV/f.u. Its spin magnetization is 0.0 μB/f.u. The value obtained for the total energy is -1.97 eV per atom.